A plane-wave DFT calculation with PBE-GGA was carried out for PmPuAs2 after structural relaxation.

Output
Crystal system: hexagonal
ΔE to the lowest computed polymorph, eV/atom: 0.035
Electronic total energy, eV per atom: -8.3311
Formation energy from the elements, eV/atom: -1.24
Spin magnetization, μB per atom: 1.24
Symmetry: P6_3/mmc, No. 194

extended XYZ file:
```
8
Lattice="4.1720 0.0000 0.0000 -2.0860 3.6131 0.0000 0.0000 0.0000 13.6865" Properties=species:S:1:pos:R:3 pbc="T T T"
Pm 0.0000 2.4087 3.4216
Pm 2.0860 1.2044 10.2649
Pu 0.0000 0.0000 0.0000
Pu 0.0000 0.0000 6.8433
As 0.0000 2.4087 8.4556
As 0.0000 2.4087 12.0742
As 2.0860 1.2044 1.6123
As 2.0860 1.2044 5.2310
```